[1]
A relaxed structure of CsTlGaBi2. Source: Alexandria via LeMat-Bulk, functional PBEsol.

```
CsTlGaBi2
1.0
-3.333 5.326 -0.294
0.065 -0.307 -6.282
-5.262 -3.287 0.106
Cs Bi Ga Tl
1 2 1 1
direct
0.000 0.000 0.000
0.500 0.000 0.000
0.000 0.500 0.000
0.500 0.500 0.500
0.000 0.000 0.500
```

formation energy from the elements = 1154.9 meV/atom
space-group type = No. 123
magnetic moment = 0.00 μB/f.u.

***

[2]
A relaxed structure of TaBeCu2. Source: Alexandria via LeMat-Bulk, functional PBEsol.

```
TaBeCu2
1.0
2.665 0.000 0.000
1.332 2.308 0.000
1.332 0.769 8.268
Be Ta Cu
1 1 2
direct
0.000 0.000 0.000
0.500 0.500 0.500
0.261 0.261 0.218
0.739 0.739 0.782
```

formation energy from the elements = 238.3 meV/atom
space-group type = No. 166
magnetic moment = 0.00 μB/f.u.

***

[3]
A relaxed structure of AlZn2Fe. Source: Alexandria via LeMat-Bulk, functional PBEsol.

```
AlZn2Fe
1.0
3.609 0.000 -0.022
0.000 3.609 -0.022
-1.780 -1.780 3.914
Fe Zn Al
1 2 1
direct
0.750 0.250 0.500
0.250 0.750 0.500
0.000 0.000 0.000
0.500 0.500 0.000
```

formation energy from the elements = -100.2 meV/atom
space-group type = No. 119
magnetic moment = 1.00 μB/f.u.

***

[4]
A relaxed structure of HfGaNi. Source: Alexandria via LeMat-Bulk, functional PBEsol.

```
HfGaNi
1.0
3.361 0.000 0.000
0.000 6.782 0.000
0.000 -3.391 5.874
Ni Hf Ga
3 3 3
direct
0.500 0.000 0.000
0.000 0.667 0.333
0.000 0.333 0.667
0.500 0.598 0.598
0.500 0.402 0.000
0.500 0.000 0.402
0.000 0.000 0.739
0.000 0.739 0.000
0.000 0.261 0.261
```

formation energy from the elements = -693.6 meV/atom
space-group type = No. 189
magnetic moment = 0.00 μB/f.u.

***

[5]
A relaxed structure of SmRu2. Source: Alexandria via LeMat-Bulk, functional PBEsol.

```
SmRu2
1.0
-2.893 3.108 -3.188
-1.336 -1.686 -4.854
-5.043 -1.263 -1.077
Sm Ru
2 4
direct
0.250 0.250 0.250
0.000 0.000 0.000
0.625 0.625 0.125
0.625 0.125 0.625
0.125 0.625 0.625
0.625 0.625 0.625
```

formation energy from the elements = -147.1 meV/atom
space-group type = No. 227
magnetic moment = 0.00 μB/f.u.

***

[6]
A relaxed structure of MgRuC3. Source: Alexandria via LeMat-Bulk, functional PBEsol.

```
MgRuC3
1.0
-3.862 0.485 -0.607
-0.340 -3.822 -0.892
-0.699 -0.822 3.788
C Mg Ru
3 1 1
direct
0.000 0.000 0.500
0.000 0.500 0.000
0.500 0.000 0.000
0.500 0.500 0.500
0.000 0.000 0.000
```

formation energy from the elements = 1729.3 meV/atom
space-group type = No. 221
magnetic moment = 0.00 μB/f.u.

***

[7]
A relaxed structure of UPd3. Source: Alexandria via LeMat-Bulk, functional PBEsol.

```
UPd3
1.0
-2.781 -3.817 1.301
2.637 -3.220 -3.808
1.992 0.344 5.267
Pd U
6 2
direct
0.250 0.836 0.164
0.250 0.328 0.164
0.750 0.672 0.836
0.750 0.164 0.328
0.750 0.164 0.836
0.250 0.836 0.672
0.750 0.667 0.333
0.250 0.333 0.667
```

formation energy from the elements = -455.3 meV/atom
space-group type = No. 194
magnetic moment = 1.72 μB/f.u.

***

[8]
A relaxed structure of AgAuO2. Source: Alexandria via LeMat-Bulk, functional PBEsol.

```
AgAuO2
1.0
-3.765 -0.969 -2.626
2.237 -3.686 -1.848
-1.143 -0.773 6.114
Ag Au O
2 2 4
direct
0.250 0.750 0.500
0.000 0.000 0.000
0.500 0.500 0.000
0.750 0.250 0.500
0.125 0.153 0.750
0.847 0.875 0.250
0.625 0.597 0.750
0.403 0.375 0.250
```

formation energy from raw total energies = -32.5 kJ/mol of formula units
space-group type = No. 98
magnetic moment = 0.00 μB/f.u.

***

[9]
A relaxed structure of Li2NiOs. Source: Alexandria via LeMat-Bulk, functional PBEsol.

```
Li2NiOs
1.0
-2.264 0.882 -0.463
-0.579 -2.101 -1.170
-2.681 -3.182 7.042
Li Os Ni
2 1 1
direct
0.000 0.000 0.236
0.000 0.000 0.764
0.500 0.500 0.500
0.500 0.500 0.000
```

formation energy from the elements = 282.7 meV/atom
space-group type = No. 123
magnetic moment = 0.15 μB/f.u.
distance to the lowest polymorph of the same formula = 183.2 meV/atom

***

[10]
A relaxed structure of ScTc2Se. Source: Alexandria via LeMat-Bulk, functional PBEsol.

```
ScTc2Se
1.0
-0.831 2.761 -0.911
-2.987 0.189 3.297
5.023 0.408 1.674
Tc Se Sc
2 1 1
direct
0.719 0.727 0.439
0.281 0.273 0.561
0.000 0.500 0.000
0.500 0.000 0.000
```

formation energy from raw total energies = -50.3 kJ/mol of formula units
space-group type = No. 12
magnetic moment = 0.00 μB/f.u.

***

[11]
A relaxed structure of Sc2SnSe. Source: Alexandria via LeMat-Bulk, functional PBEsol.

```
Sc2SnSe
1.0
4.374 0.000 0.000
2.187 3.788 0.000
2.187 1.263 7.675
Sn Sc Se
1 2 1
direct
0.500 0.500 0.500
0.894 0.894 0.318
0.106 0.106 0.682
0.000 0.000 0.000
```

formation energy from raw total energies = -211.0 kJ/mol of formula units
space-group type = No. 166
magnetic moment = 0.00 μB/f.u.

***

[12]
A relaxed structure of TiSiRuS2. Source: Alexandria via LeMat-Bulk, functional PBEsol.

```
TiSiRuS2
1.0
4.477 0.000 0.000
0.000 4.477 0.000
0.000 0.000 4.785
Ti Si Ru S
1 1 1 2
direct
0.000 0.000 0.000
0.000 0.000 0.500
0.500 0.500 0.500
0.500 0.000 0.000
0.000 0.500 0.000
```

formation energy from raw total energies = 323.6 kJ/mol of formula units
space-group type = No. 123
magnetic moment = 2.19 μB/f.u.

***

Repeat the fourth record exactly.
A relaxed structure of HfGaNi. Source: Alexandria via LeMat-Bulk, functional PBEsol.

```
HfGaNi
1.0
3.361 0.000 0.000
0.000 6.782 0.000
0.000 -3.391 5.874
Ni Hf Ga
3 3 3
direct
0.500 0.000 0.000
0.000 0.667 0.333
0.000 0.333 0.667
0.500 0.598 0.598
0.500 0.402 0.000
0.500 0.000 0.402
0.000 0.000 0.739
0.000 0.739 0.000
0.000 0.261 0.261
```

formation energy from the elements = -693.6 meV/atom
space-group type = No. 189
magnetic moment = 0.00 μB/f.u.

***

- Number 3 is which compound?
  AlZn2Fe

***

- Number 4 is which compound?
  HfGaNi

***

- magnetic moment of number 6 (MgRuC3)?
  0.00 μB/f.u.